(1)
Tl2Sn2Br5: relaxed, GGA-PBE.

Values from the calculation:
Spin magnetization: 0.00 μB per formula unit
Mass density: 5.43 g cm⁻³
E_form (uncorrected): -0.63 eV/atom
Total energy: -53.53 eV per cell

Unit cell a=8.929 b=7.703 c=11.012 alpha=110.47 beta=113.92 gamma=90.00
Atoms (fractional coordinates):
Sn1 0.500 0.420 0.000
Sn2 0.236 0.433 0.500
Sn3 0.764 0.933 0.500
Sn4 0.000 0.920 0.000
Tl1 0.125 0.586 0.205
Tl2 0.580 0.086 0.205
Tl3 0.875 0.381 0.795
Tl4 0.420 0.881 0.795
Br1 0.263 0.071 0.304
Br2 0.745 0.726 0.072
Br3 0.737 0.767 0.696
Br4 0.255 0.654 0.928
Br5 0.541 0.571 0.304
Br6 0.459 0.267 0.696
Br7 0.042 0.798 0.500
Br8 0.827 0.226 0.072
Br9 0.958 0.298 0.500
Br10 0.173 0.154 0.928


(2)
LaZnRu: relaxed, GGA-PBE.

Values from the calculation:
Spin magnetization: 0.00 μB per formula unit
Mass density: 8.18 g cm⁻³
Energy of formation: -0.349 eV/f.u.
Total energy: -15.83 eV per cell

Unit cell a=5.584 b=5.584 c=3.521 alpha=71.62 beta=71.62 gamma=36.76
Atoms (fractional coordinates):
Zn1 0.292 0.292 0.708
La1 0.996 0.996 0.004
Ru1 0.712 0.712 0.288


(3)
Nb2IrRu: relaxed, GGA-PBE.

Values from the calculation:
Spin magnetization: 0.00 μB per formula unit
Mass density: 12.35 g cm⁻³
Energy of formation: -0.337 eV/f.u.
Total energy: -38.61 eV per cell

Unit cell a=2.842 b=2.842 c=9.353 alpha=81.26 beta=81.26 gamma=60.00
Atoms (fractional coordinates):
Ru1 0.000 0.000 0.000
Nb1 0.749 0.749 0.753
Nb2 0.251 0.251 0.247
Ir1 0.500 0.500 0.500


(4)
PmEr3H8: relaxed, GGA-PBE.

Values from the calculation:
Spin magnetization: 0.00 μB per formula unit
Mass density: 7.83 g cm⁻³
Total energy: -53.73 eV per cell

Unit cell a=5.179 b=5.179 c=5.179 alpha=90.00 beta=90.00 gamma=90.00
Atoms (fractional coordinates):
H1 0.258 0.258 0.742
H2 0.742 0.742 0.742
H3 0.742 0.258 0.258
H4 0.742 0.258 0.742
H5 0.742 0.742 0.258
H6 0.258 0.742 0.742
H7 0.258 0.742 0.258
H8 0.258 0.258 0.258
Er1 0.000 0.500 0.500
Er2 0.500 0.000 0.500
Er3 0.500 0.500 0.000
Pm1 0.000 0.000 0.000


(5)
AlCu2Se: relaxed, GGA-PBE.

Values from the calculation:
Spin magnetization: 0.00 μB per formula unit
Mass density: 6.15 g cm⁻³
E_form (uncorrected): 0.14 eV/atom
Total energy: -14.85 eV per cell

Unit cell a=2.870 b=2.870 c=7.642 alpha=90.00 beta=90.00 gamma=90.00
Atoms (fractional coordinates):
Cu1 0.500 0.500 0.217
Cu2 0.000 0.000 0.008
Al1 0.500 0.500 0.813
Se1 0.000 0.000 0.462


(6)
La2SmHo4Th: relaxed, GGA-PBE.

Values from the calculation:
Spin magnetization: 0.00 μB per formula unit
Mass density: 8.32 g cm⁻³
Energy of formation: 0.249 eV/f.u.
Total energy: -40.06 eV per cell

Unit cell a=5.154 b=5.152 c=11.178 alpha=62.60 beta=90.00 gamma=90.00
Atoms (fractional coordinates):
Th1 0.000 0.500 0.500
Ho1 0.000 0.245 0.255
Ho2 0.500 0.745 0.255
Ho3 0.000 0.755 0.745
Ho4 0.500 0.255 0.745
La1 0.000 0.000 0.000
La2 0.500 0.000 0.500
Sm1 0.500 0.500 0.000


(7)
ReSi: relaxed, GGA-PBE.

Values from the calculation:
Spin magnetization: 0.00 μB per formula unit
Mass density: 12.33 g cm⁻³
E_form (uncorrected): 0.32 eV/atom
Total energy: -34.45 eV per cell

Unit cell a=2.746 b=2.746 c=8.335 alpha=90.00 beta=90.00 gamma=113.22
Atoms (fractional coordinates):
Si1 0.500 0.500 0.250
Si2 0.000 0.000 0.500
Re1 0.000 0.000 0.008
Re2 0.500 0.500 0.742


(8)
FeSbIr2: relaxed, GGA-PBE.

Values from the calculation:
Spin magnetization: 3.23 μB per formula unit
Mass density: 14.82 g cm⁻³
E_form (uncorrected): 0.29 eV/atom
Total energy: -29.16 eV per cell

Unit cell a=5.342 b=5.342 c=5.342 alpha=147.09 beta=129.86 gamma=61.28
Last column: magnetic moment on the atom in μB.
Atoms (fractional coordinates):
Fe1 0.259 0.759 0.500  2.74
Sb1 0.495 0.495 0.000  -0.03
Ir1 0.732 0.232 0.500  0.28
Ir2 0.014 0.014 0.000  0.24


(9)
CsMg2MnCl8: relaxed, GGA-PBE.

Values from the calculation:
Spin magnetization: 4.00 μB per formula unit
Mass density: 2.55 g cm⁻³
E_form (uncorrected): -1.50 eV/atom
Total energy: -46.04 eV per cell

Unit cell a=6.483 b=6.336 c=9.196 alpha=75.70 beta=71.92 gamma=73.16
Last column: magnetic moment on the atom in μB.
Atoms (fractional coordinates):
Cl1 0.356 0.319 0.529  0.00
Cl2 0.261 0.821 0.801  -0.01
Cl3 0.644 0.681 0.471  0.00
Cl4 0.784 0.295 0.798  0.04
Cl5 0.777 0.762 0.035  0.00
Cl6 0.223 0.238 0.965  0.00
Cl7 0.739 0.179 0.199  -0.01
Cl8 0.216 0.705 0.202  0.04
Mg1 0.449 0.449 0.720  0.00
Mg2 0.551 0.551 0.280  0.00
Cs1 0.000 0.000 0.500  0.00
Mn1 0.000 0.000 0.000  3.69


(10)
RbPCl2: relaxed, GGA-PBE.

Values from the calculation:
Spin magnetization: 0.00 μB per formula unit
Offset from the most stable computed form: 0.00 eV/f.u.
Mass density: 2.33 g cm⁻³
E_form (uncorrected): -0.50 eV/atom
Total energy: -12.06 eV per cell

Unit cell a=9.243 b=9.243 c=9.243 alpha=26.00 beta=26.00 gamma=26.00
Atoms (fractional coordinates):
Cl1 0.088 0.088 0.088
Cl2 0.912 0.912 0.912
P1 0.000 0.000 0.000
Rb1 0.500 0.500 0.500


(11)
Pm2EuSn: relaxed, GGA-PBE.

Values from the calculation:
Spin magnetization: 7.53 μB per formula unit
Offset from the most stable computed form: 0.00 eV/f.u.
Mass density: 7.65 g cm⁻³
Energy of formation: -1.644 eV/f.u.
Total energy: -25.42 eV per cell

Unit cell a=4.854 b=5.007 c=5.007 alpha=90.00 beta=90.00 gamma=90.00
Last column: magnetic moment on the atom in μB.
Atoms (fractional coordinates):
Sn1 0.500 0.500 0.500  -0.04
Pm1 0.000 0.500 0.000  0.10
Pm2 0.000 0.000 0.500  0.10
Eu1 0.500 0.000 0.000  6.91


(12)
Ag5BiPd6: relaxed, GGA-PBE.

Values from the calculation:
Spin magnetization: 0.00 μB per formula unit
Offset from the most stable computed form: 0.06 eV/f.u.
Mass density: 11.19 g cm⁻³
Energy of formation: -1.232 eV/f.u.
Total energy: -50.53 eV per cell

Unit cell a=8.602 b=4.305 c=6.779 alpha=71.49 beta=80.83 gamma=59.87
Atoms (fractional coordinates):
Ag1 0.500 0.833 0.334
Ag2 0.000 0.675 0.649
Ag3 0.500 0.167 0.666
Ag4 0.000 0.325 0.351
Ag5 0.500 0.500 0.000
Pd1 0.252 0.583 0.330
Pd2 0.748 0.087 0.330
Pd3 0.247 0.254 0.000
Pd4 0.252 0.913 0.670
Pd5 0.748 0.417 0.670
Pd6 0.753 0.746 0.000
Bi1 0.000 0.000 0.000


(13)
ReTcSCl2: relaxed, GGA-PBE.

Values from the calculation:
Spin magnetization: 2.04 μB per formula unit
Offset from the most stable computed form: 0.77 eV/f.u.
Mass density: 6.11 g cm⁻³
E_form (uncorrected): 1.08 eV/atom
Total energy: -25.23 eV per cell

Unit cell a=4.504 b=5.187 c=4.504 alpha=90.00 beta=90.00 gamma=90.00
Last column: magnetic moment on the atom in μB.
Atoms (fractional coordinates):
Cl1 0.000 0.000 0.500  -0.01
Cl2 0.500 0.000 0.000  -0.09
Re1 0.000 0.500 0.000  2.52
Tc1 0.000 0.000 0.000  -0.66
S1 0.500 0.500 0.500  -0.10


(14)
Sm8As3Se4S: relaxed, GGA-PBE.

Values from the calculation:
Spin magnetization: 0.00 μB per formula unit
Mass density: 7.17 g cm⁻³
E_form (uncorrected): -1.78 eV/atom
Total energy: -98.29 eV per cell

Unit cell a=8.322 b=8.373 c=8.322 alpha=119.80 beta=120.00 gamma=90.00
Atoms (fractional coordinates):
Sm1 0.748 0.736 0.992
Sm2 0.244 0.736 0.992
Sm3 0.756 0.264 0.008
Sm4 0.756 0.264 0.512
Sm5 0.254 0.261 0.507
Sm6 0.746 0.739 0.493
Sm7 0.252 0.264 0.008
Sm8 0.244 0.736 0.488
As1 0.000 0.500 0.500
As2 0.500 0.500 0.500
As3 0.500 0.500 0.000
Se1 0.000 0.000 0.500
Se2 0.500 0.000 0.000
Se3 0.000 0.000 0.000
Se4 0.500 0.000 0.500
S1 0.000 0.500 0.000


(15)
GeHSe: relaxed, GGA-PBE.

Values from the calculation:
Spin magnetization: 0.00 μB per formula unit
Offset from the most stable computed form: 1.41 eV/f.u.
Mass density: 4.53 g cm⁻³
Total energy: -10.46 eV per cell

Unit cell a=2.649 b=2.649 c=8.199 alpha=99.30 beta=99.30 gamma=90.00
Atoms (fractional coordinates):
Ge1 0.991 0.991 0.983
Se1 0.768 0.768 0.536
H1 0.091 0.091 0.181


(16)
Rb2LaAgBr6: relaxed, GGA-PBE.

Values from the calculation:
Spin magnetization: 0.00 μB per formula unit
Offset from the most stable computed form: 0.27 eV/f.u.
Mass density: 3.86 g cm⁻³
E_form (uncorrected): -1.55 eV/atom
Total energy: -35.26 eV per cell

Unit cell a=8.167 b=8.167 c=8.180 alpha=60.05 beta=60.05 gamma=90.00
Atoms (fractional coordinates):
Br1 0.253 0.747 0.000
Br2 0.747 0.253 0.000
Br3 0.253 0.253 0.000
Br4 0.747 0.747 0.000
Br5 0.252 0.252 0.496
Br6 0.748 0.748 0.504
Ag1 0.500 0.500 0.000
Rb1 0.750 0.250 0.500
Rb2 0.250 0.750 0.500
La1 0.000 0.000 0.000


(17)
CeDy5Bi4: relaxed, GGA-PBE.

Values from the calculation:
Spin magnetization: 1.96 μB per formula unit
Mass density: 9.01 g cm⁻³
Energy of formation: -4.674 eV/f.u.
Total energy: -49.14 eV per cell

Unit cell a=4.876 b=7.665 c=9.656 alpha=108.66 beta=104.62 gamma=90.00
Last column: magnetic moment on the atom in μB.
Atoms (fractional coordinates):
Dy1 0.142 0.738 0.283  0.15
Dy2 0.858 0.262 0.717  0.15
Dy3 0.212 0.302 0.425  -0.01
Dy4 0.788 0.698 0.575  -0.01
Dy5 0.500 0.500 0.000  0.37
Ce1 0.500 0.000 0.000  0.90
Bi1 0.957 0.705 0.913  -0.02
Bi2 0.673 0.010 0.345  -0.01
Bi3 0.043 0.295 0.087  -0.02
Bi4 0.327 0.990 0.655  -0.01


(18)
TbDy7Ho3: relaxed, GGA-PBE.

Values from the calculation:
Spin magnetization: 0.00 μB per formula unit
Offset from the most stable computed form: 0.00 eV/f.u.
Mass density: 8.46 g cm⁻³
Energy of formation: 1.592 eV/f.u.
Total energy: -48.99 eV per cell

Unit cell a=5.502 b=9.838 c=8.841 alpha=105.71 beta=128.47 gamma=89.99
Atoms (fractional coordinates):
Dy1 0.322 0.641 0.822
Dy2 0.678 0.359 0.178
Dy3 0.853 0.709 0.354
Dy4 0.081 0.169 0.081
Dy5 0.147 0.291 0.646
Dy6 0.919 0.831 0.919
Dy7 0.500 0.000 0.500
Tb1 0.500 0.500 0.500
Ho1 0.000 0.500 0.000
Ho2 0.279 0.999 0.779
Ho3 0.721 0.001 0.221


(19)
Nd2MgNi16: relaxed, GGA-PBE.

Values from the calculation:
Spin magnetization: 5.36 μB per formula unit
Mass density: 8.32 g cm⁻³
Energy of formation: -3.685 eV/f.u.
Total energy: -107.32 eV per cell

Unit cell a=6.342 b=6.342 c=6.342 alpha=83.12 beta=83.12 gamma=83.12
Last column: magnetic moment on the atom in μB.
Atoms (fractional coordinates):
Ni1 0.703 0.000 0.296  0.38
Ni2 0.106 0.106 0.106  0.28
Ni3 0.001 0.495 0.001  0.41
Ni4 0.000 0.296 0.703  0.38
Ni5 0.296 0.703 0.000  0.38
Ni6 0.845 0.342 0.342  0.38
Ni7 0.000 0.703 0.296  0.38
Ni8 0.703 0.296 0.000  0.38
Ni9 0.342 0.342 0.845  0.38
Ni10 0.155 0.656 0.656  0.37
Ni11 0.342 0.845 0.342  0.38
Ni12 0.656 0.155 0.656  0.37
Ni13 0.296 0.000 0.703  0.38
Ni14 0.001 0.001 0.495  0.41
Ni15 0.656 0.656 0.155  0.37
Ni16 0.495 0.001 0.001  0.41
Nd1 0.653 0.653 0.653  -0.07
Nd2 0.341 0.341 0.341  -0.07
Mg1 0.910 0.910 0.910  -0.01


(20)
CrPb2Se: relaxed, GGA-PBE.

Values from the calculation:
Spin magnetization: 4.27 μB per formula unit
Mass density: 8.96 g cm⁻³
E_form (uncorrected): 0.29 eV/atom
Total energy: -19.37 eV per cell

Unit cell a=5.973 b=5.973 c=5.973 alpha=136.09 beta=136.09 gamma=63.85
Last column: magnetic moment on the atom in μB.
Atoms (fractional coordinates):
Se1 0.250 0.750 0.500  -0.04
Pb1 0.000 0.000 0.000  -0.04
Pb2 0.500 0.500 0.000  -0.04
Cr1 0.750 0.250 0.500  3.94


(21)
SmAgPd6: relaxed, GGA-PBE.

Values from the calculation:
Spin magnetization: 0.00 μB per formula unit
Offset from the most stable computed form: 0.00 eV/f.u.
Mass density: 10.89 g cm⁻³
Energy of formation: -3.105 eV/f.u.
Total energy: -41.83 eV per cell

Unit cell a=4.111 b=5.767 c=5.767 alpha=90.00 beta=90.00 gamma=90.00
Atoms (fractional coordinates):
Ag1 0.500 0.500 0.500
Pd1 0.500 0.500 0.000
Pd2 0.000 0.257 0.257
Pd3 0.000 0.257 0.743
Pd4 0.000 0.743 0.743
Pd5 0.000 0.743 0.257
Pd6 0.500 0.000 0.500
Sm1 0.500 0.000 0.000


(22)
Tl4RhPb: relaxed, GGA-PBE.

Values from the calculation:
Spin magnetization: 0.00 μB per formula unit
Mass density: 11.16 g cm⁻³
Energy of formation: 3.137 eV/f.u.
Total energy: -17.39 eV per cell

Unit cell a=6.191 b=6.191 c=6.191 alpha=60.00 beta=60.00 gamma=60.00
Atoms (fractional coordinates):
Tl1 0.877 0.374 0.374
Tl2 0.374 0.374 0.374
Tl3 0.374 0.877 0.374
Tl4 0.374 0.374 0.877
Pb1 0.750 0.750 0.750
Rh1 0.000 0.000 0.000


(23)
RbTaHg: relaxed, GGA-PBE.

Values from the calculation:
Spin magnetization: 0.00 μB per formula unit
Offset from the most stable computed form: 0.37 eV/f.u.
Mass density: 7.35 g cm⁻³
Energy of formation: 1.417 eV/f.u.
Total energy: -23.41 eV per cell

Unit cell a=13.238 b=4.386 c=3.632 alpha=90.00 beta=90.17 gamma=90.00
Atoms (fractional coordinates):
Ta1 0.844 0.000 0.255
Ta2 0.992 0.000 0.756
Hg1 0.042 0.500 0.257
Hg2 0.816 0.500 0.754
Rb1 0.254 0.000 0.758
Rb2 0.582 0.500 0.252


(24)
CeSmAu: relaxed, GGA-PBE.

Values from the calculation:
Spin magnetization: 1.55 μB per formula unit
Offset from the most stable computed form: 0.67 eV/f.u.
Mass density: 8.74 g cm⁻³
Energy of formation: -0.763 eV/f.u.
Total energy: -14.69 eV per cell

Unit cell a=5.078 b=5.078 c=5.078 alpha=60.00 beta=60.00 gamma=60.00
Last column: magnetic moment on the atom in μB.
Atoms (fractional coordinates):
Au1 0.250 0.250 0.250  0.03
Sm1 0.000 0.000 0.000  0.18
Ce1 0.500 0.500 0.500  0.92


(25)
ErTm3Pb: relaxed, GGA-PBE.

Values from the calculation:
Spin magnetization: 0.00 μB per formula unit
Offset from the most stable computed form: 0.00 eV/f.u.
Mass density: 10.19 g cm⁻³
Energy of formation: -0.861 eV/f.u.
Total energy: -45.09 eV per cell

Unit cell a=5.463 b=8.957 c=6.161 alpha=107.64 beta=90.00 gamma=90.00
Atoms (fractional coordinates):
Er1 0.750 0.113 0.482
Er2 0.250 0.887 0.518
Tm1 0.250 0.102 0.145
Tm2 0.750 0.898 0.855
Tm3 0.750 0.709 0.247
Tm4 0.750 0.506 0.661
Tm5 0.250 0.494 0.339
Tm6 0.250 0.291 0.753
Pb1 0.750 0.308 0.071
Pb2 0.250 0.692 0.929